1.
This record from Alexandria describes PuPaTl2O6 after structural relaxation. The functional is GGA-PBE.

Total DFT energy (no corrections)   -8.2743 eV/atom
Theoretical density   9.81 Mg/m³
Formation energy (no corrections)   -2443 meV/atom
Volume   663.1 Å³ per cell

Cell lengths 8.7203, 8.7203, 8.7203 Å; angles 90.00, 90.00, 90.00 degrees
Space group Fm-3m (No. 225)
One atom of each set of equivalent atoms:
1 Pu 0.0000 0.0000 0.0000 x4
2 Pa 0.0000 0.0000 0.5000 x4
3 Tl 0.2500 0.2500 0.2500 x8
4 O 0.0000 0.0000 0.2483 x24


2.
This record from Alexandria describes ZrAuSe3 after structural relaxation. The functional is GGA-PBE.

Total DFT energy (no corrections)   -4.1023 eV/atom
Theoretical density   6.98 Mg/m³
Formation energy (no corrections)   353 meV/atom
Excess energy over the best structure of this formula in the dataset   0.967 eV/atom
Volume   125.0 Å³ per cell

Cell lengths 4.9997, 4.9997, 4.9997 Å; angles 90.00, 90.00, 90.00 degrees
Space group Pm-3m (No. 221)
One atom of each set of equivalent atoms:
1 Zr 0.0000 0.0000 0.0000 x1
2 Au 0.5000 0.5000 0.5000 x1
3 Se 0.0000 0.5000 0.5000 x3


3.
This record from Alexandria describes ZnPt2W after structural relaxation. The functional is GGA-PBE.

Total DFT energy (no corrections)   -6.7954 eV/atom
Theoretical density   17.35 Mg/m³
Energy relative to the elements   -0.218 eV/atom
Volume   122.4 Å³ per cell

Cell lengths 5.6631, 7.7962, 2.7727 Å; angles 90.00, 90.00, 90.00 degrees
Space group Cmmm (No. 65)
One atom of each set of equivalent atoms:
1 Zn 0.0000 0.0000 0.0000 x2
2 Pt 0.2500 0.2500 0.5000 x4
3 W 0.0000 0.5000 0.0000 x2


4.
This record from Alexandria describes NaTlPbBr6 after structural relaxation. The functional is GGA-PBE.

Total DFT energy (no corrections)   -2.7752 eV/atom
Theoretical density   4.78 Mg/m³
Formation energy (no corrections)   -838 meV/atom
Volume   635.0 Å³ per cell

Cell lengths 7.4603, 7.4603, 13.1735 Å; angles 90.00, 90.00, 120.00 degrees
Space group P-31c (No. 163)
One atom of each set of equivalent atoms:
1 Na 0.0000 0.0000 0.0000 x2
2 Tl 0.3333 0.6667 0.2500 x2
3 Pb 0.3333 0.6667 0.7500 x2
4 Br 0.0254 0.3617 0.1257 x12


5.
This record from Alexandria describes Ti2SiRuF after structural relaxation. The functional is GGA-PBE.

Total DFT energy (no corrections)   -6.1460 eV/atom
Theoretical density   4.11 Mg/m³
Formation energy (no corrections)   326 meV/atom
Volume   98.4 Å³ per cell

Cell lengths 4.8069, 4.8069, 4.2598 Å; angles 90.00, 90.00, 90.00 degrees
Space group P4/mmm (No. 123)
One atom of each set of equivalent atoms:
1 Ti 0.0000 0.5000 0.0000 x2
2 Si 0.0000 0.0000 0.0000 x1
3 Ru 0.0000 0.0000 0.5000 x1
4 F 0.5000 0.5000 0.5000 x1


6.
This record from Alexandria describes TbHoAgIr after structural relaxation. The functional is GGA-PBE.

Total DFT energy (no corrections)   -5.8291 eV/atom
Theoretical density   11.92 Mg/m³
Energy relative to the elements   -0.599 eV/atom
Volume   347.7 Å³ per cell

Cell lengths 7.0318, 7.0318, 7.0318 Å; angles 90.00, 90.00, 90.00 degrees
Space group F-43m (No. 216)
One atom of each set of equivalent atoms:
1 Tb 0.0000 0.0000 0.0000 x4
2 Ho 0.0000 0.0000 0.5000 x4
3 Ag 0.2500 0.2500 0.2500 x4
4 Ir 0.2500 0.2500 0.7500 x4


7.
This record from Alexandria describes Nd8Sm3Cd after structural relaxation. The functional is GGA-PBE.

Total DFT energy (no corrections)   -3.9784 eV/atom
Theoretical density   6.45 Mg/m³
Energy relative to the elements   0.456 eV/atom
Volume   883.7 Å³ per cell

Cell lengths 8.7403, 8.7403, 11.5681 Å; angles 90.00, 90.00, 90.00 degrees
Space group I-42m (No. 121)
One atom of each set of equivalent atoms:
1 Nd 0.1268 0.1268 0.2489 x8
2 Nd 0.2497 0.2497 0.4917 x8
3 Sm 0.0000 0.0000 0.0000 x2
4 Sm 0.0000 0.5000 0.2500 x4
5 Cd 0.0000 0.0000 0.5000 x2


8.
This record from Alexandria describes NaLiAcAg after structural relaxation. The functional is GGA-PBE.

Total DFT energy (no corrections)   -2.5115 eV/atom
Theoretical density   5.30 Mg/m³
Energy relative to the elements   0.037 eV/atom
Volume   457.4 Å³ per cell

Cell lengths 7.7051, 7.7051, 7.7051 Å; angles 90.00, 90.00, 90.00 degrees
Space group F-43m (No. 216)
One atom of each set of equivalent atoms:
1 Na 0.0000 0.0000 0.0000 x4
2 Li 0.2500 0.2500 0.2500 x4
3 Ac 0.0000 0.0000 0.5000 x4
4 Ag 0.2500 0.2500 0.7500 x4


9.
This record from Alexandria describes Li2RePt after structural relaxation. The functional is GGA-PBE.

Total DFT energy (no corrections)   -5.6337 eV/atom
Theoretical density   11.40 Mg/m³
Excess energy over the best structure of this formula in the dataset   0.074 eV/atom
Energy relative to the elements   -0.055 eV/atom
Volume   115.1 Å³ per cell

Cell lengths 5.3205, 9.2181, 2.6487 Å; angles 90.00, 117.59, 90.00 degrees
Space group C2/m (No. 12)
One atom of each set of equivalent atoms:
1 Li 0.2500 0.2500 0.0000 x4
2 Re 0.0000 0.0000 0.5000 x2
3 Pt 0.0000 0.5000 0.5000 x2


10.
This record from Alexandria describes SmPuCoAg after structural relaxation. The functional is GGA-PBE.

Total DFT energy (no corrections)   -7.1777 eV/atom
Theoretical density   10.46 Mg/m³
Energy relative to the elements   0.074 eV/atom
Volume   356.5 Å³ per cell

Cell lengths 7.0906, 7.0906, 7.0906 Å; angles 90.00, 90.00, 90.00 degrees
Space group F-43m (No. 216)
One atom of each set of equivalent atoms:
1 Sm 0.0000 0.0000 0.0000 x4
2 Pu 0.0000 0.0000 0.5000 x4
3 Co 0.2500 0.2500 0.2500 x4
4 Ag 0.2500 0.2500 0.7500 x4